# CrTe2Rh | the Alexandria database | GGA-PBE | optimized geometry
data_CrTe2Rh
_chemical_formula_sum 'Cr3 Te6 Rh3'
_space_group_name_H-M_alt 'R 3 m'
_space_group_IT_number 160
_space_group_name_Hall 'R 3 -2"'
_cell_length_a 4.0611
_cell_length_b 4.0611
_cell_length_c 19.2610
_cell_angle_alpha 90.00
_cell_angle_beta 90.00
_cell_angle_gamma 120.00
loop_
_atom_site_label
_atom_site_fract_x
_atom_site_fract_y
_atom_site_fract_z
Cr1 0.0000 0.0000 0.0000
Te1 0.0000 0.0000 0.5530
Te2 0.0000 0.0000 0.7404
Rh1 0.0000 0.0000 0.2886
# - Polymorph energy (0 for the lowest one): 111 meV/atom
# - Raw formation energy: -29 meV/atom

---

A plane-wave DFT calculation with GGA-PBE was carried out for a relaxed Ac2FeH6 crystal.

```
data_Ac2FeH6
_chemical_formula_sum 'Ac8 Fe4 H24'
_space_group_name_H-M_alt 'F m -3 m'
_space_group_IT_number 225
_space_group_name_Hall '-F 4 2 3'
_cell_length_a 7.5879
_cell_length_b 7.5879
_cell_length_c 7.5879
_cell_angle_alpha 90.00
_cell_angle_beta 90.00
_cell_angle_gamma 90.00
loop_
_atom_site_label
_atom_site_fract_x
_atom_site_fract_y
_atom_site_fract_z
Ac1 0.2500 0.2500 0.2500
Fe1 0.0000 0.0000 0.0000
H1 0.0000 0.0000 0.2187
```

---

# BaCaFe2 | the Alexandria database | GGA-PBE | optimized geometry
data_BaCaFe2
_chemical_formula_sum 'Ba4 Ca4 Fe8'
_space_group_name_H-M_alt 'F m -3 m'
_space_group_IT_number 225
_space_group_name_Hall '-F 4 2 3'
_cell_length_a 7.4647
_cell_length_b 7.4647
_cell_length_c 7.4647
_cell_angle_alpha 90.00
_cell_angle_beta 90.00
_cell_angle_gamma 90.00
loop_
_atom_site_label
_atom_site_fract_x
_atom_site_fract_y
_atom_site_fract_z
Ba1 0.0000 0.0000 0.0000
Ca1 0.0000 0.0000 0.5000
Fe1 0.2500 0.2500 0.2500
# - ΔH_f (0 K): 847 meV/atom
# - Polymorph energy (0 for the lowest one): 404 meV/atom

---

# NiSnAs | the Alexandria database | GGA-PBE | optimized geometry
data_NiSnAs
_chemical_formula_sum 'Ni2 Sn2 As2'
_space_group_name_H-M_alt 'P m n 21'
_space_group_IT_number 31
_space_group_name_Hall 'P 2ac -2'
_cell_length_a 3.4164
_cell_length_b 5.2149
_cell_length_c 6.3216
_cell_angle_alpha 90.00
_cell_angle_beta 90.00
_cell_angle_gamma 90.00
loop_
_atom_site_label
_atom_site_fract_x
_atom_site_fract_y
_atom_site_fract_z
Ni1 0.0000 0.2098 0.0000
Sn1 0.0000 0.4453 0.6383
As1 0.0000 0.0491 0.3513
# - ΔH_f (0 K): -219 meV/atom

---

Calculated total energy (eV per atom)
-5.844; -4.521; -4.365; -5.030
Density (g cm⁻³)
7.4; 7.8; 4.6; 7.4